[1]
K2InHg: optimized geometry, GGA-PBE.

- DFT formation energy (eV per atom) = -0.16
- volume (Å³/f.u.) = 151
- space group = Cm (8)
- energy relative to the lowest polymorph listed for this composition (eV/atom) = 0.000

a b c (Å): 5.1926 6.9523 9.3765
angles (deg): 80.52 73.92 68.07
Fractional positions:
K 0.2086 0.2431 0.3396
K 0.8177 0.8392 0.5254
K 0.4283 0.4344 0.7091
K 0.8173 0.3410 0.0244
In 0.0693 0.7633 0.0981
In 0.5657 0.9168 0.9518
Hg 0.1205 0.0180 0.7410
Hg 0.5148 0.6607 0.3097

---

[2]
KIn2Hg2: optimized geometry, GGA-PBE.

- DFT formation energy (eV per atom) = -0.15
- volume (Å³/f.u.) = 152
- space group = Pnma (62)
- energy relative to the lowest polymorph listed for this composition (eV/atom) = 0.000

a b c (Å): 4.9291 9.1724 13.4055
angles (deg): 90.00 90.00 90.00
Fractional positions:
K 0.2500 0.2142 0.8291
K 0.7500 0.2858 0.3291
K 0.7500 0.7858 0.1709
K 0.2500 0.7142 0.6709
In 0.7500 0.3384 0.6371
In 0.2500 0.1616 0.1371
In 0.2500 0.6616 0.3629
In 0.7500 0.8384 0.8629
In 0.2500 0.0893 0.5509
In 0.7500 0.4107 0.0509
In 0.7500 0.9107 0.4491
In 0.2500 0.5893 0.9491
Hg 0.7500 0.0102 0.6781
Hg 0.2500 0.4898 0.1781
Hg 0.2500 0.9898 0.3219
Hg 0.7500 0.5102 0.8219
Hg 0.2500 0.3991 0.5052
Hg 0.7500 0.1009 0.0052
Hg 0.7500 0.6009 0.4948
Hg 0.2500 0.8991 0.9948

---

[3]
K3InHg: optimized geometry, GGA-PBE.

- DFT formation energy (eV per atom) = 0.11
- volume (Å³/f.u.) = 273
- space group = Pm-3m (221)
- energy relative to the lowest polymorph listed for this composition (eV/atom) = 0.240

a b c (Å): 6.4861 6.4861 6.4861
angles (deg): 90.00 90.00 90.00
Fractional positions:
K 0.0000 0.5000 0.0000
K 0.0000 0.0000 0.5000
K 0.5000 0.0000 0.0000
Hg 0.0000 0.0000 0.0000
In 0.5000 0.5000 0.5000

---

[4]
K2InHg: optimized geometry, GGA-PBE.

- DFT formation energy (eV per atom) = -0.14
- volume (Å³/f.u.) = 164
- space group = Amm2 (38)
- energy relative to the lowest polymorph listed for this composition (eV/atom) = 0.020

a b c (Å): 5.1011 4.8991 6.9898
angles (deg): 69.47 90.00 90.00
Fractional positions:
K 0.0000 0.9713 0.9336
K 0.5000 0.2786 0.3174
Hg 0.0000 0.6797 0.5148
In 0.5000 0.5704 0.7343

---

[5]
K2InHg: optimized geometry, GGA-PBE.

- DFT formation energy (eV per atom) = 0.02
- volume (Å³/f.u.) = 157
- space group = I-42d (122)
- energy relative to the lowest polymorph listed for this composition (eV/atom) = 0.173

a b c (Å): 9.7447 9.7447 7.6469
angles (deg): 50.42 50.42 90.00
Fractional positions:
K 0.6489 0.1250 0.2500
K 0.1011 0.6250 0.2500
K 0.3750 0.3511 0.7500
K 0.8750 0.8989 0.7500
Hg 0.0000 0.0000 0.0000
Hg 0.7500 0.2500 0.5000
In 0.5000 0.5000 0.0000
In 0.2500 0.7500 0.5000

---

[6]
KInHg2: optimized geometry, GGA-PBE.

- DFT formation energy (eV per atom) = -0.12
- volume (Å³/f.u.) = 140
- space group = R3m (160)

a b c (Å): 4.7166 4.7166 7.7655
angles (deg): 72.32 72.32 60.00
Fractional positions:
K 0.4971 0.4971 0.5088
In 0.6708 0.6708 0.9875
Hg 0.0627 0.0627 0.8119
Hg 0.2694 0.2694 0.1918

---

[7]
K3In5Hg2: optimized geometry, GGA-PBE.

- DFT formation energy (eV per atom) = -0.14
- volume (Å³/f.u.) = 336
- space group = Ibam (72)

a b c (Å): 7.1067 10.3643 10.3643
angles (deg): 79.00 69.95 69.95
Fractional positions:
K 0.2500 0.0000 0.0000
K 0.7500 0.0000 0.0000
K 0.3796 0.3852 0.8555
K 0.6204 0.6148 0.1445
K 0.8796 0.8555 0.3852
K 0.1204 0.1445 0.6148
In 0.2500 0.5000 0.5000
In 0.7500 0.5000 0.5000
In 0.5003 0.7497 0.7497
In 0.9997 0.2503 0.2503
In 0.4997 0.2503 0.2503
In 0.0003 0.7497 0.7497
In 0.1270 0.5041 0.2418
In 0.8730 0.4959 0.7582
In 0.6270 0.2418 0.5041
In 0.3730 0.7582 0.4959
Hg 0.1509 0.6973 0.0009
Hg 0.8491 0.3027 0.9991
Hg 0.6509 0.0009 0.6973
Hg 0.3491 0.9991 0.3027

---

[8]
KIn2Hg: optimized geometry, GGA-PBE.

- DFT formation energy (eV per atom) = -0.08
- volume (Å³/f.u.) = 122
- space group = C2/m (12)

a b c (Å): 6.7476 6.7476 5.6851
angles (deg): 65.18 65.18 31.71
Fractional positions:
Hg 0.2500 0.2500 0.2500
In 0.9660 0.9660 0.0361
In 0.5340 0.5340 0.4639
K 0.7500 0.7500 0.7500